# VZnSi2O6

A geometry-optimized VZnSi2O6 structure (PBE+U, the Alexandria database).

abc: 9.898 9.406 5.421
angles: 90.00 110.86 90.00
Space group C2/c (No. 15)
Unique sites:
V 0.000 0.099 0.250
Zn 0.000 0.238 0.750
Si 0.196 0.417 0.218
O 0.117 0.264 0.122
O 0.126 0.084 0.664
O 0.145 0.479 0.455

Computed properties:
V: 472 Å³ per cell
Uncorrected energy: -7.233 eV/atom